Computed, not measured: a geometry-optimized LaY2Ti structure at the GGA-PBE level of DFT.

Results
- Energy relative to the lowest polymorph listed for this composition: 0.0000 eV/atom
- V: 118.2 Å³/f.u.
- ΔH_f (0 K): 308.1 meV/atom

Cell: 5.5088 5.5088 5.5088 Å, 60.00 60.00 60.00°
Last column: nearest neighbours and their distance in Å.
Sites, in units of the cell vectors:
La 0.5000 0.5000 0.5000  8 Y 3.37
Y 0.2500 0.2500 0.2500  4 La 3.37, 4 Ti 3.37
Y 0.7500 0.7500 0.7500  4 La 3.37, 4 Ti 3.37
Ti 0.0000 0.0000 0.0000  8 Y 3.37

***

Computed, not measured: a geometry-optimized LaYTi3 structure at the GGA-PBE level of DFT.

Results
- Energy relative to the lowest polymorph listed for this composition: 0.0000 eV/atom
- V: 118.8 Å³/f.u.
- ΔH_f (0 K): 900.9 meV/atom

Cell: 4.9156 4.9156 4.9156 Å, 90.00 90.00 90.00°
Last column: nearest neighbours and their distance in Å.
Sites, in units of the cell vectors:
Ti 0.0000 0.5000 0.0000  2 La 2.46
La 0.0000 0.0000 0.0000  6 Ti 2.46
Y 0.5000 0.5000 0.5000  12 Ti 3.48
Ti 0.5000 0.0000 0.0000  2 La 2.46
Ti 0.0000 0.0000 0.5000  2 La 2.46

***

Computed, not measured: a geometry-optimized LaY3Ti structure at the GGA-PBE level of DFT.

Results
- Energy relative to the lowest polymorph listed for this composition: 0.6939 eV/atom
- V: 169.0 Å³/f.u.
- ΔH_f (0 K): 1111.4 meV/atom

Cell: 5.5283 5.5283 5.5283 Å, 90.00 90.00 90.00°
Last column: nearest neighbours and their distance in Å.
Sites, in units of the cell vectors:
Y 0.0000 0.0000 0.5000  2 La 2.76
Y 0.5000 0.0000 0.0000  2 La 2.76
La 0.0000 0.0000 0.0000  6 Y 2.76
Ti 0.5000 0.5000 0.5000  12 Y 3.91
Y 0.0000 0.5000 0.0000  2 La 2.76

***

energy relative to the lowest polymorph listed for this composition of number 2 (LaYTi3)?
0.0000 eV/atom

***

Which value of V does entry 1 give?
118.2 Å³/f.u.

***

What is the energy relative to the lowest polymorph listed for this composition in the second record?
0.0000 eV/atom